DFT (PBE) results for a relaxed Ti3InH2 crystal.

a = 5.7365 Å, b = 2.9846 Å, c = 9.7292 Å
α = 90.00°, β = 104.01°, γ = 90.00°
Last column: nearest neighbours and their distance in Å.
Space group P2_1/m (No. 11)
One atom of each set of equivalent atoms:
Ti 0.0218 0.2500 0.3707 [2 per cell]  2 H 1.88-2.02
Ti 0.3062 0.2500 0.8752 [2 per cell]  2 H 1.81
Ti 0.4078 0.2500 0.6144 [2 per cell]  3 H 1.91-1.97
In 0.2093 0.7500 0.1286 [2 per cell]  2 H 2.57, 1 Ti 2.79
H 0.1272 0.7500 0.8236 [2 per cell]  3 Ti 1.81-1.88
H 0.3852 0.2500 0.4156 [2 per cell]  4 Ti 1.91-2.02

Values from the calculation:
Raw total energy (eV per cell): -67.912
D(E_F) (states/eV per cell): 8.37
Energy above the most stable polymorph in this dataset (eV/f.u.): 0.81

=====

DFT (PBE) results for a relaxed CaLa2Zn crystal.

a = 3.8644 Å, b = 3.8644 Å, c = 8.9240 Å
α = 90.00°, β = 90.00°, γ = 90.00°
Last column: nearest neighbours and their distance in Å.
Space group P4/mmm (No. 123)
One atom of each set of equivalent atoms:
Ca 0.0000 0.0000 0.0000 [1 per cell]  4 Ca 3.86, 8 La 3.89
La 0.5000 0.5000 0.3097 [2 per cell]  4 Zn 3.22, 1 La 3.40
Zn 0.0000 0.0000 0.5000 [1 per cell]  8 La 3.22

Values from the calculation:
Raw total energy (eV per cell): -13.635
D(E_F) (states/eV per cell): 4.09
ΔE_f (eV per atom): -0.13

=====

DFT (PBE) results for a relaxed HgPbF crystal.

a = 14.3567 Å, b = 3.6978 Å, c = 6.1372 Å
α = 90.00°, β = 90.00°, γ = 90.00°
Last column: nearest neighbours and their distance in Å.
Space group Amm2 (No. 38)
One atom of each set of equivalent atoms:
Hg 0.0000 0.0000 0.0000 [2 per cell]  6 Pb 3.40-3.41, 6 Hg 3.58-3.70
Hg 0.5000 0.0000 0.4235 [2 per cell]  6 Hg 3.58-3.70, 4 F 3.65
Pb 0.1876 0.0000 0.3386 [4 per cell]  3 F 2.48-2.53
F 0.2827 0.0000 0.9919 [4 per cell]  3 Pb 2.48-2.53

Values from the calculation:
Raw total energy (eV per cell): -34.270
D(E_F) (states/eV per cell): 5.47
Energy above the most stable polymorph in this dataset (eV/f.u.): 0.14
Raw formation energy (kJ/mol of formula units): -259

=====

DFT (PBE) results for a relaxed CaPaHg2O8 crystal.

a = 7.4713 Å, b = 7.4713 Å, c = 7.0488 Å
α = 90.00°, β = 90.00°, γ = 90.00°
Last column: nearest neighbours and their distance in Å.
Space group I-4m2 (No. 119)
One atom of each set of equivalent atoms:
Ca 0.0000 0.0000 0.0000 [2 per cell]  8 O 2.38-2.41
Pa 0.0000 0.5000 0.2500 [2 per cell]  8 O 2.24-2.28
Hg 0.0000 0.0000 0.5000 [2 per cell]  4 O 2.20
Hg 0.0000 0.5000 0.7500 [2 per cell]  4 O 2.17
O 0.0000 0.1951 0.2665 [8 per cell]  1 O 2.15, 1 Hg 2.20, 1 Pa 2.28, 1 Ca 2.38
O 0.0000 0.3232 0.9936 [8 per cell]  1 O 2.15, 1 Hg 2.17, 1 Pa 2.24

Values from the calculation:
Raw total energy (eV per cell): -132.335
D(E_F) (states/eV per cell): 15.30
Raw formation energy (kJ/mol of formula units): -1389